Below is a geometry-optimized AcIn3Co structure, with properties calculated at the GGA-PBE level.

a = 5.0266 Å, b = 5.0266 Å, c = 5.0266 Å
α = 90.00°, β = 90.00°, γ = 90.00°
Last column: nearest neighbours and their distance in Å.
Sites, in units of the cell vectors:
Ac  0.0000  0.0000  0.0000  12 In 3.55
In  0.0000  0.5000  0.5000  2 Co 2.51
In  0.5000  0.0000  0.5000  2 Co 2.51
In  0.5000  0.5000  0.0000  2 Co 2.51
Co  0.5000  0.5000  0.5000  6 In 2.51

DFT formation energy = -0.202 eV per atom
spin magnetization = 0.020 μB/f.u.

Below is a geometry-optimized Ac12InCo5 structure, with properties calculated at the GGA-PBE level.

a = 9.1582 Å, b = 9.1582 Å, c = 9.1582 Å
α = 110.23°, β = 109.51°, γ = 108.68°
Last column: nearest neighbours and their distance in Å.
Sites, in units of the cell vectors:
Ac  0.0049  0.1908  0.8141  2 Co 2.83-2.93
Ac  0.1861  0.3103  0.4964  2 Co 3.03
Ac  0.1861  0.6897  0.8758  2 Co 3.03
Ac  0.3188  0.0060  0.6871  3 Co 2.98-3.01
Ac  0.3188  0.6317  0.3129  3 Co 2.98-3.01
Ac  0.3766  0.1908  0.1859  2 Co 2.83-2.93
Ac  0.6234  0.8092  0.8141  2 Co 2.83-2.93
Ac  0.6812  0.3683  0.6871  3 Co 2.98-3.01
Ac  0.6812  0.9940  0.3129  3 Co 2.98-3.01
Ac  0.8139  0.3103  0.1242  2 Co 3.03
Ac  0.8139  0.6897  0.5036  2 Co 3.03
Ac  0.9951  0.8092  0.1859  2 Co 2.83-2.93
In  0.5000  0.5000  0.0000  12 Ac 3.81-3.87
Co  0.0000  0.0000  0.0000  4 Ac 2.83
Co  0.1090  0.6090  0.5000  1 Co 2.33
Co  0.3851  0.0000  0.3851  1 Co 2.43
Co  0.6149  0.0000  0.6149  1 Co 2.43
Co  0.8910  0.3910  0.5000  1 Co 2.33

DFT formation energy = -0.068 eV per atom
spin magnetization = 0.004 μB/f.u.

Below is a geometry-optimized Ac3InCo structure, with properties calculated at the GGA-PBE level.

a = 5.5452 Å, b = 5.5452 Å, c = 5.5452 Å
α = 90.00°, β = 90.00°, γ = 90.00°
Last column: nearest neighbours and their distance in Å.
Sites, in units of the cell vectors:
Ac  0.0000  0.0000  0.5000  2 Co 2.77
Ac  0.0000  0.5000  0.0000  2 Co 2.77
Ac  0.5000  0.0000  0.0000  2 Co 2.77
In  0.5000  0.5000  0.5000  12 Ac 3.92
Co  0.0000  0.0000  0.0000  6 Ac 2.77

DFT formation energy = -0.190 eV per atom
spin magnetization = 0.000 μB/f.u.

Below is a geometry-optimized Ac5In2Co2 structure, with properties calculated at the GGA-PBE level.

a = 12.2869 Å, b = 12.2869 Å, c = 12.2869 Å
α = 52.62°, β = 142.64°, γ = 144.32°
Last column: nearest neighbours and their distance in Å.
Sites, in units of the cell vectors:
Ac  0.2153  0.0726  0.6428  2 Co 2.73-2.77
Ac  0.2492  0.0057  0.2549  2 Co 2.72-2.73
Ac  0.2492  0.4943  0.7436  2 Co 2.72-2.73
Ac  0.4298  0.5726  0.3572  2 Co 2.73-2.77
Ac  0.7237  0.1166  0.3324  1 Co 2.65
Ac  0.7237  0.8914  0.1072  1 Co 2.65
Ac  0.7508  0.5057  0.2564  2 Co 2.72-2.73
Ac  0.7508  0.9943  0.7451  2 Co 2.72-2.73
Ac  0.7842  0.3914  0.6676  1 Co 2.65
Ac  0.7842  0.6166  0.8928  1 Co 2.65
In  0.2390  0.3542  0.0895  7 Ac 3.43-3.83
In  0.2390  0.6495  0.3848  7 Ac 3.43-3.83
In  0.2647  0.1495  0.9105  7 Ac 3.43-3.83
In  0.2647  0.8542  0.6152  7 Ac 3.43-3.83
Co  0.6190  0.4388  0.6802  4 Ac 2.65-2.77
Co  0.7499  0.2499  0.5000  6 Ac 2.72-3.04
Co  0.7499  0.7499  0.0000  6 Ac 2.72-3.04
Co  0.7587  0.9388  0.3198  4 Ac 2.65-2.77

DFT formation energy = -0.009 eV per atom
spin magnetization = 0.000 μB/f.u.

Below is a geometry-optimized Ac7InCo3 structure, with properties calculated at the GGA-PBE level.

a = 7.2457 Å, b = 7.2457 Å, c = 7.1566 Å
α = 99.51°, β = 99.51°, γ = 94.91°
Last column: nearest neighbours and their distance in Å.
Sites, in units of the cell vectors:
Ac  0.0000  0.0000  0.0000  2 Co 2.92
Ac  0.1360  0.5404  0.2722  2 Co 2.81-2.93
Ac  0.3528  0.3528  0.7844  3 Co 2.77-3.03
Ac  0.4596  0.8640  0.7278  2 Co 2.81-2.93
Ac  0.5404  0.1360  0.2722  2 Co 2.81-2.93
Ac  0.6472  0.6472  0.2156  3 Co 2.77-3.03
Ac  0.8640  0.4596  0.7278  2 Co 2.81-2.93
In  0.0000  0.0000  0.5000  8 Ac 3.56-3.74
Co  0.2738  0.7262  0.0000  5 Ac 2.81-3.03
Co  0.5000  0.5000  0.5000  6 Ac 2.77-2.93
Co  0.7262  0.2738  0.0000  5 Ac 2.81-3.03

DFT formation energy = -0.043 eV per atom
spin magnetization = 0.000 μB/f.u.

Below is a geometry-optimized Ac12InCo6 structure, with properties calculated at the GGA-PBE level.

a = 9.2033 Å, b = 9.2033 Å, c = 9.2033 Å
α = 109.47°, β = 109.47°, γ = 109.47°
Last column: nearest neighbours and their distance in Å.
Sites, in units of the cell vectors:
Ac  0.1241  0.8125  0.3116  3 Co 2.95-3.05
Ac  0.1875  0.3116  0.4991  3 Co 2.95-3.05
Ac  0.1875  0.6884  0.8759  3 Co 2.95-3.05
Ac  0.3116  0.1241  0.8125  3 Co 2.95-3.05
Ac  0.3116  0.4991  0.1875  3 Co 2.95-3.05
Ac  0.4991  0.1875  0.3116  3 Co 2.95-3.05
Ac  0.5009  0.8125  0.6884  3 Co 2.95-3.05
Ac  0.6884  0.5009  0.8125  3 Co 2.95-3.05
Ac  0.6884  0.8759  0.1875  3 Co 2.95-3.05
Ac  0.8125  0.3116  0.1241  3 Co 2.95-3.05
Ac  0.8125  0.6884  0.5009  3 Co 2.95-3.05
Ac  0.8759  0.1875  0.6884  3 Co 2.95-3.05
In  0.0000  0.0000  0.0000  12 Ac 3.86
Co  0.1080  0.6080  0.5000  1 Co 2.30
Co  0.3920  0.5000  0.8920  1 Co 2.30
Co  0.5000  0.1080  0.6080  1 Co 2.30
Co  0.5000  0.8920  0.3920  1 Co 2.30
Co  0.6080  0.5000  0.1080  1 Co 2.30
Co  0.8920  0.3920  0.5000  1 Co 2.30

DFT formation energy = -0.082 eV per atom
spin magnetization = 0.001 μB/f.u.

Below is a geometry-optimized Ac8InCo4 structure, with properties calculated at the GGA-PBE level.

a = 10.1927 Å, b = 10.1927 Å, c = 13.6953 Å
α = 130.70°, β = 130.70°, γ = 24.09°
Last column: nearest neighbours and their distance in Å.
Sites, in units of the cell vectors:
Ac  0.0000  0.0000  0.0000  3 Co 2.80-2.83
Ac  0.0149  0.0149  0.7298  3 Co 2.95-2.98
Ac  0.0586  0.0586  0.4702  3 Co 2.92-2.99
Ac  0.3196  0.3196  0.6687  3 Co 2.81-2.82
Ac  0.4028  0.4028  0.1395  3 Co 2.81-2.82
Ac  0.6636  0.6636  0.3381  3 Co 2.92-2.99
Ac  0.7075  0.7075  0.0785  3 Co 2.95-2.98
Ac  0.7225  0.7225  0.8083  3 Co 2.80-2.83
In  0.3608  0.3608  0.4041  10 Ac 3.95-4.23, 2 In 4.25
Co  0.0243  0.0243  0.2267  6 Ac 2.80-2.99
Co  0.2148  0.2148  0.9365  6 Ac 2.81-2.98
Co  0.5076  0.5076  0.8717  6 Ac 2.81-2.98
Co  0.6979  0.6979  0.5815  6 Ac 2.80-2.99

DFT formation energy = -0.056 eV per atom
spin magnetization = 0.000 μB/f.u.

Below is a geometry-optimized Ac2InCo structure, with properties calculated at the GGA-PBE level.

a = 7.7544 Å, b = 5.6746 Å, c = 11.4085 Å
α = 90.00°, β = 90.00°, γ = 90.00°
Last column: nearest neighbours and their distance in Å.
Sites, in units of the cell vectors:
Ac  0.0719  0.2500  0.2230  2 Co 2.66-2.82
Ac  0.1536  0.2500  0.5736  3 Co 2.84-2.98
Ac  0.3464  0.7500  0.0736  3 Co 2.84-2.98
Ac  0.4281  0.7500  0.7230  2 Co 2.66-2.82
Ac  0.5719  0.2500  0.2770  2 Co 2.66-2.82
Ac  0.6536  0.2500  0.9264  3 Co 2.84-2.98
Ac  0.8464  0.7500  0.4264  3 Co 2.84-2.98
Ac  0.9281  0.7500  0.7770  2 Co 2.66-2.82
In  0.1618  0.2500  0.8929  1 Co 2.60
In  0.3382  0.7500  0.3929  1 Co 2.60
In  0.6618  0.2500  0.6071  1 Co 2.60
In  0.8382  0.7500  0.1071  1 Co 2.60
Co  0.1536  0.7500  0.5833  1 In 2.60, 4 Ac 2.66-2.84
Co  0.3464  0.2500  0.0833  1 In 2.60, 4 Ac 2.66-2.84
Co  0.6536  0.7500  0.9167  1 In 2.60, 4 Ac 2.66-2.84
Co  0.8464  0.2500  0.4167  1 In 2.60, 4 Ac 2.66-2.84

DFT formation energy = -0.169 eV per atom
spin magnetization = 0.000 μB/f.u.

Below is a geometry-optimized Ac6In3Co structure, with properties calculated at the GGA-PBE level.

a = 11.2266 Å, b = 5.8848 Å, c = 11.8205 Å
α = 90.00°, β = 114.11°, γ = 90.00°
Last column: nearest neighbours and their distance in Å.
Sites, in units of the cell vectors:
Ac  0.0291  0.2500  0.1023  1 In 3.41, 2 Ac 3.69
Ac  0.0597  0.2500  0.7330  1 Co 2.82
Ac  0.2024  0.2500  0.4589  2 Co 2.99
Ac  0.2888  0.7500  0.2152  1 Co 2.89
Ac  0.3621  0.7500  0.9125  7 In 3.48-3.59
Ac  0.4540  0.7500  0.6104  1 Co 2.75
Ac  0.5460  0.2500  0.3896  1 Co 2.75
Ac  0.6379  0.2500  0.0875  7 In 3.48-3.59
Ac  0.7112  0.2500  0.7848  1 Co 2.89
Ac  0.7976  0.7500  0.5411  2 Co 2.99
Ac  0.9403  0.7500  0.2670  1 Co 2.82
Ac  0.9709  0.7500  0.8977  1 In 3.41, 2 Ac 3.69
In  0.1334  0.7500  0.6028  1 Co 2.64
In  0.3059  0.2500  0.0501  8 Ac 3.41-3.81
In  0.3988  0.2500  0.7733  8 Ac 3.45-3.70, 1 In 3.82
In  0.6012  0.7500  0.2267  8 Ac 3.45-3.70, 1 In 3.82
In  0.6941  0.7500  0.9499  8 Ac 3.41-3.81
In  0.8666  0.2500  0.3972  1 Co 2.64
Co  0.2100  0.7500  0.4191  1 In 2.64, 3 Ac 2.75-2.89
Co  0.7900  0.2500  0.5809  1 In 2.64, 3 Ac 2.75-2.89

DFT formation energy = -0.226 eV per atom
distance to the lowest polymorph of the same formula = 0 meV/atom
spin magnetization = 0.000 μB/f.u.

Below is a geometry-optimized Ac4InCo2 structure, with properties calculated at the GGA-PBE level.

a = 7.7601 Å, b = 7.7601 Å, c = 7.7601 Å
α = 94.68°, β = 94.68°, γ = 146.82°
Last column: nearest neighbours and their distance in Å.
Sites, in units of the cell vectors:
Ac  0.0738  0.7370  0.8108  2 Co 2.84
Ac  0.2630  0.0738  0.3368  2 Co 2.84
Ac  0.7370  0.9262  0.6632  2 Co 2.84
Ac  0.9262  0.2630  0.1892  2 Co 2.84
In  0.5000  0.5000  0.0000  8 Ac 3.63
Co  0.2500  0.7500  0.5000  2 Co 2.22
Co  0.7500  0.2500  0.5000  2 Co 2.22

DFT formation energy = -0.014 eV per atom
spin magnetization = 1.204 μB/f.u.

Below is a geometry-optimized Ac10In2Co3 structure, with properties calculated at the GGA-PBE level.

a = 13.8329 Å, b = 13.8329 Å, c = 10.7827 Å
α = 110.37°, β = 110.37°, γ = 33.79°
Last column: nearest neighbours and their distance in Å.
Sites, in units of the cell vectors:
Ac  0.0000  0.5000  0.5000  2 Co 2.81
Ac  0.0094  0.0094  0.6937  2 Co 2.80
Ac  0.0985  0.6075  0.0348  1 Co 2.85
Ac  0.1142  0.6528  0.4477  2 Co 2.82-2.93
Ac  0.2488  0.7512  0.0000  2 Co 2.89
Ac  0.2605  0.2605  0.1989  1 Co 2.82
Ac  0.3472  0.8858  0.5523  2 Co 2.82-2.93
Ac  0.3688  0.3688  0.7549  2 Co 2.79-2.82
Ac  0.3925  0.9015  0.9652  1 Co 2.85
Ac  0.4851  0.4851  0.3124  3 Co 2.83-2.87
Ac  0.5000  0.0000  0.5000  2 Co 2.81
Ac  0.5149  0.5149  0.6876  3 Co 2.83-2.87
Ac  0.6075  0.0985  0.0348  1 Co 2.85
Ac  0.6312  0.6312  0.2451  2 Co 2.79-2.82
Ac  0.6528  0.1142  0.4477  2 Co 2.82-2.93
Ac  0.7395  0.7395  0.8011  1 Co 2.82
Ac  0.7512  0.2488  0.0000  2 Co 2.89
Ac  0.8858  0.3472  0.5523  2 Co 2.82-2.93
Ac  0.9015  0.3925  0.9652  1 Co 2.85
Ac  0.9906  0.9906  0.3063  2 Co 2.80
In  0.1297  0.1297  0.2521  12 Ac 3.71-4.05
In  0.2362  0.2362  0.8081  12 Ac 3.76-4.02
In  0.7638  0.7638  0.1919  12 Ac 3.76-4.02
In  0.8703  0.8703  0.7479  12 Ac 3.71-4.05
Co  0.2414  0.7586  0.5000  6 Ac 2.80-2.93
Co  0.3200  0.3200  0.4749  6 Ac 2.81-2.82
Co  0.4270  0.4270  0.0293  6 Ac 2.79-2.89
Co  0.5730  0.5730  0.9707  6 Ac 2.79-2.89
Co  0.6800  0.6800  0.5251  6 Ac 2.81-2.82
Co  0.7586  0.2414  0.5000  6 Ac 2.80-2.93

DFT formation energy = -0.114 eV per atom
spin magnetization = 0.000 μB/f.u.

Below is a geometry-optimized Ac6In2Co structure, with properties calculated at the GGA-PBE level.

a = 4.0963 Å, b = 9.4809 Å, c = 9.4809 Å
α = 120.03°, β = 90.00°, γ = 90.00°
Last column: nearest neighbours and their distance in Å.
Sites, in units of the cell vectors:
Ac  0.0000  0.0000  0.0000  2 Co 2.99
Ac  0.0000  0.5428  0.7716  2 Co 2.98
Ac  0.0000  0.7716  0.5428  2 Co 2.98
Ac  0.5000  0.1800  0.7717  4 In 3.53, 1 Co 3.88, 4 Ac 3.94
Ac  0.5000  0.3635  0.3635  4 In 3.53, 1 Co 3.86, 4 Ac 3.93
Ac  0.5000  0.7717  0.1800  4 In 3.53, 1 Co 3.88, 4 Ac 3.94
In  0.0000  0.1052  0.4383  9 Ac 3.53-3.76
In  0.0000  0.4383  0.1052  9 Ac 3.53-3.76
Co  0.5000  0.7704  0.7704  6 Ac 2.98-2.99

DFT formation energy = -0.193 eV per atom
distance to the lowest polymorph of the same formula = 11 meV/atom
spin magnetization = 0.000 μB/f.u.

> What is the DFT formation energy in the sixth record?

-0.082 eV per atom